! RbBa2H2, relaxed, DFT GGA-PBE; values from VASP
! Relative energy among the computed polymorphs, meV/atom: 0.0
! Density of states at the Fermi level, states/eV per atom: 0.588
&SYSTEM
  ibrav = 0, nat = 5, ntyp = 3
/
ATOMIC_SPECIES
Ba 137.33 Ba.upf
H 1.01 H.upf
Rb 85.47 Rb.upf
ATOMIC_POSITIONS angstrom
Ba 2.0430 5.8135 2.0206
H -0.3966 4.9605 2.5480
H 0.8731 5.5126 -0.3242
Rb 0.0000 0.0000 0.0000
Ba -1.5665 4.6596 0.2033
CELL_PARAMETERS angstrom
-1.4773 1.8526 -3.8365
-4.0166 0.7483 1.9080
5.9704 7.8722 4.1524

---

! RbBa3H, relaxed, DFT GGA-PBE; values from VASP
! Density of states at the Fermi level, states/eV per atom: 1.026
! Final energy, eV/atom: -2.006
&SYSTEM
  ibrav = 0, nat = 5, ntyp = 3
/
ATOMIC_SPECIES
H 1.01 H.upf
Rb 85.47 Rb.upf
Ba 137.33 Ba.upf
ATOMIC_POSITIONS angstrom
H 0.0000 0.0000 0.0000
Rb 3.1460 3.1460 3.1460
Ba 0.0000 3.1460 0.0000
Ba 0.0000 0.0000 3.1460
Ba 3.1460 0.0000 0.0000
CELL_PARAMETERS angstrom
6.2920 0.0000 0.0000
0.0000 6.2920 0.0000
0.0000 0.0000 6.2920

---

! RbBa2H, relaxed, DFT GGA-PBE; values from VASP
! Relative energy among the computed polymorphs, meV/atom: 14.4
! Density of states at the Fermi level, states/eV per atom: 1.092
&SYSTEM
  ibrav = 0, nat = 8, ntyp = 3
/
ATOMIC_SPECIES
Rb 85.47 Rb.upf
Ba 137.33 Ba.upf
H 1.01 H.upf
ATOMIC_POSITIONS angstrom
Rb 3.2496 -8.9135 3.4034
Ba 1.5086 -5.0151 1.8375
Rb 0.0000 0.0000 0.0000
Ba 7.6002 -7.6166 3.1380
Ba 5.7032 -5.0345 0.2830
Ba 7.8212 -12.0368 3.7894
H 3.1071 -5.2477 -0.2830
H 8.0671 -5.9380 1.1206
CELL_PARAMETERS angstrom
-1.7103 -8.2232 1.9998
7.9246 -2.2722 -2.5658
5.1024 -4.3561 5.0898

---

! Rb2BaH2, relaxed, DFT GGA-PBE; values from VASP
! Relative energy among the computed polymorphs, meV/atom: 101.7
! Density of states at the Fermi level, states/eV per atom: 0.000
&SYSTEM
  ibrav = 0, nat = 5, ntyp = 3
/
ATOMIC_SPECIES
H 1.01 H.upf
Rb 85.47 Rb.upf
Ba 137.33 Ba.upf
ATOMIC_POSITIONS angstrom
H -3.8314 -4.9628 2.9237
Rb -2.7136 -7.1092 4.3349
Ba 0.0000 0.0000 0.0000
Rb -1.4524 -3.5423 2.5110
H -0.3345 -5.6887 3.9223
CELL_PARAMETERS angstrom
-4.2301 -2.9086 -1.0730
2.7638 -4.3604 0.9242
-2.6996 -3.3825 6.9947

---

! RbBa2H2, relaxed, DFT GGA-PBE; values from VASP
! Relative energy among the computed polymorphs, meV/atom: 234.0
! Density of states at the Fermi level, states/eV per atom: 0.606
&SYSTEM
  ibrav = 0, nat = 5, ntyp = 3
/
ATOMIC_SPECIES
H 1.01 H.upf
Ba 137.33 Ba.upf
Rb 85.47 Rb.upf
ATOMIC_POSITIONS angstrom
H -5.5071 0.0470 1.4867
H -7.6826 2.5986 -0.6508
Ba -6.2424 2.6812 1.6808
Rb 0.0000 0.0000 0.0000
Ba -6.9474 -0.0356 -0.8448
CELL_PARAMETERS angstrom
-2.2229 4.7028 1.2066
-3.6329 -0.7307 -3.8446
-7.3339 -1.3264 3.4739

---

! Rb2BaH4, relaxed, DFT GGA-PBE; values from VASP
! Density of states at the Fermi level, states/eV per atom: 0.000
! Final energy, eV/atom: -2.708
&SYSTEM
  ibrav = 0, nat = 28, ntyp = 3
/
ATOMIC_SPECIES
Ba 137.33 Ba.upf
H 1.01 H.upf
Rb 85.47 Rb.upf
ATOMIC_POSITIONS angstrom
Ba -0.4165 -1.4930 -1.5612
H -9.0558 -0.1614 -3.6530
Rb -2.5997 1.3565 -3.7396
H -7.6355 -5.8616 -3.7861
H -9.7552 -0.9704 0.8105
Rb -13.0520 -2.7450 -2.8878
H -5.9644 -2.1695 -5.4479
H -6.7240 -3.2663 -1.3057
H -11.4949 -4.5475 1.8049
H -4.1202 1.7098 -6.1467
Ba -5.6532 3.4397 -1.7815
Ba -8.4544 -0.8731 3.0905
H -3.6567 4.1597 -3.4077
H -9.5430 -2.5802 -6.4155
H -10.5921 -4.0425 -2.4221
Rb -9.2625 -3.7055 0.0978
Rb -8.2224 -2.9058 -3.7257
H -8.4559 -6.5072 -0.6669
H -6.7715 3.5272 -4.2548
Ba -6.0488 -5.7897 -1.5832
H -8.0584 -3.5497 2.8566
Rb -3.4725 -3.3525 -4.8625
H -5.0832 0.9170 -2.2410
Rb -5.0831 -1.1794 -0.3550
H -10.5598 -1.9832 4.3088
Rb -6.4350 0.5728 -4.7481
Rb -9.7873 1.0115 -1.1952
H -8.1092 0.2644 -7.2355
CELL_PARAMETERS angstrom
-4.3568 5.7334 -4.3209
-1.5899 -5.6993 -5.9593
-9.7508 -3.1668 5.6299

---

! RbBa2H, relaxed, DFT GGA-PBE; values from VASP
! Relative energy among the computed polymorphs, meV/atom: 0.0
! Density of states at the Fermi level, states/eV per atom: 1.018
&SYSTEM
  ibrav = 0, nat = 4, ntyp = 3
/
ATOMIC_SPECIES
Ba 137.33 Ba.upf
Rb 85.47 Rb.upf
H 1.01 H.upf
ATOMIC_POSITIONS angstrom
Ba 2.1974 1.2686 1.5808
Rb 4.3912 2.5352 5.7537
H 4.3948 2.5373 0.0003
Ba 2.1898 1.2643 9.9096
CELL_PARAMETERS angstrom
4.3942 0.0011 -0.0029
2.1980 3.8049 -0.0029
2.1898 1.2643 11.5020

---

! RbBa2H, relaxed, DFT GGA-PBE; values from VASP
! Relative energy among the computed polymorphs, meV/atom: 631.3
! Density of states at the Fermi level, states/eV per atom: 1.613
&SYSTEM
  ibrav = 0, nat = 4, ntyp = 3
/
ATOMIC_SPECIES
Ba 137.33 Ba.upf
Rb 85.47 Rb.upf
H 1.01 H.upf
ATOMIC_POSITIONS angstrom
Ba 7.0745 7.0745 7.0745
Rb 4.7163 4.7163 4.7163
Ba 2.3582 2.3582 2.3582
H 0.0000 0.0000 0.0000
CELL_PARAMETERS angstrom
0.0000 4.7163 4.7163
4.7163 0.0000 4.7163
4.7163 4.7163 0.0000

---

Q: Which of these has the highest density of states at the Fermi level?
A: number 8

---

Please write out number 5 again, unchanged.
! RbBa2H2, relaxed, DFT GGA-PBE; values from VASP
! Relative energy among the computed polymorphs, meV/atom: 234.0
! Density of states at the Fermi level, states/eV per atom: 0.606
&SYSTEM
  ibrav = 0, nat = 5, ntyp = 3
/
ATOMIC_SPECIES
H 1.01 H.upf
Ba 137.33 Ba.upf
Rb 85.47 Rb.upf
ATOMIC_POSITIONS angstrom
H -5.5071 0.0470 1.4867
H -7.6826 2.5986 -0.6508
Ba -6.2424 2.6812 1.6808
Rb 0.0000 0.0000 0.0000
Ba -6.9474 -0.0356 -0.8448
CELL_PARAMETERS angstrom
-2.2229 4.7028 1.2066
-3.6329 -0.7307 -3.8446
-7.3339 -1.3264 3.4739

---

Q: density of states at the Fermi level of number 1 (RbBa2H2)?
A: 0.588 states/eV per atom